(1)
Here is crystalline LaSc2GeBr at its relaxed geometry from Alexandria. Energies are from GGA-PBE.

raw total energy: -24.5 eV/cell
total moment: 0.0 μB per formula unit
SG: P4/mmm, No. 123

Structure (CIF):
```
data_LaSc2GeBr
_chemical_formula_sum 'La1 Sc2 Ge1 Br1'
_cell_length_a 4.948
_cell_length_b 5.638
_cell_length_c 4.948
_cell_angle_alpha 90.00
_cell_angle_beta 90.00
_cell_angle_gamma 90.00
_symmetry_space_group_name_H-M 'P 1'
_symmetry_Int_Tables_number 1
loop_
_symmetry_equiv_pos_as_xyz
'x,y,z'
loop_
_atom_site_label
_atom_site_type_symbol
_atom_site_fract_x
_atom_site_fract_y
_atom_site_fract_z
_atom_site_occupancy
Sc1 Sc 0.000 0.000 0.500 1
Sc2 Sc 0.500 0.000 0.000 1
Ge1 Ge 0.500 0.500 0.500 1
Br1 Br 0.000 0.000 0.000 1
La1 La 0.000 0.500 0.000 1
```

---

(2)
Here is crystalline La3GeSeBr at its relaxed geometry from Alexandria. Energies are from GGA-PBE.

raw total energy: -64.6 eV/cell
total moment: 1.5 μB per formula unit
SG: P2_1/m, No. 11

Structure (CIF):
```
data_La3GeSeBr
_chemical_formula_sum 'La6 Ge2 Se2 Br2'
_cell_length_a 4.321
_cell_length_b 8.830
_cell_length_c 11.098
_cell_angle_alpha 90.48
_cell_angle_beta 90.00
_cell_angle_gamma 90.00
_symmetry_space_group_name_H-M 'P 1'
_symmetry_Int_Tables_number 1
loop_
_symmetry_equiv_pos_as_xyz
'x,y,z'
loop_
_atom_site_label
_atom_site_type_symbol
_atom_site_fract_x
_atom_site_fract_y
_atom_site_fract_z
_atom_site_occupancy
La1 La 0.250 0.646 0.407 1
La2 La 0.750 0.872 0.132 1
La3 La 0.750 0.378 0.136 1
La4 La 0.750 0.354 0.593 1
La5 La 0.250 0.622 0.864 1
La6 La 0.250 0.128 0.868 1
Ge1 Ge 0.250 0.626 0.143 1
Ge2 Ge 0.750 0.374 0.857 1
Se1 Se 0.750 0.875 0.858 1
Se2 Se 0.250 0.125 0.142 1
Br1 Br 0.250 0.117 0.591 1
Br2 Br 0.750 0.883 0.409 1
```

---

Number 1: E_form (uncorrected) -0.1296 eV/atom. Number 2: E_form (uncorrected) -1.2896 eV/atom.